A relaxed EuSi2PdAu crystal, computed with GGA-PBEsol.

Results
* SG: I-4m2
* formation energy (no corrections): -73.8 kJ/mol of atoms
* spin magnetization: 6.79 μB/f.u.
* crystal system: tetragonal
* VASP energy: -35.76 eV for the cell shown

The structure in POSCAR format:
```
EuSi2PdAu
1.0
-2.118 2.118 4.987
2.118 -2.118 4.987
2.118 2.118 -4.987
Eu Si Pd Au
1 2 1 1
Direct
0.000 0.000 0.000 Eu
0.383 0.383 0.000 Si
0.617 0.617 0.000 Si
0.250 0.750 0.500 Pd
0.750 0.250 0.500 Au
```